A plane-wave DFT calculation with GGA-PBEsol was carried out for a relaxed structure of Mg3Ga.

Cell lengths 3.1509, 3.1509, 9.6688 Å; angles 90.00, 90.00, 120.00 degrees
Space group P-6m2 (No. 187)
Unique sites:
Mg  0.0000  0.0000  0.0000 [1 per cell]
Mg  0.6667  0.3333  0.2682 [2 per cell]
Ga  0.0000  0.0000  0.5000 [1 per cell]

A plane-wave DFT calculation with GGA-PBEsol was carried out for a relaxed structure of Mg3Ga.

Cell lengths 4.315, 4.315, 4.315 Å; angles 90.00, 90.00, 90.00 degrees
Space group Pm-3m (No. 221)
Unique sites:
Mg  0.000  0.000  0.500 [3 per cell]
Ga  0.500  0.500  0.500 [1 per cell]

A plane-wave DFT calculation with GGA-PBEsol was carried out for a relaxed structure of MgGa5.

Cell lengths 10.485, 3.271, 6.617 Å; angles 90.00, 106.42, 90.00 degrees
Space group Cm (No. 8)
Unique sites:
Mg  0.000  0.000  0.000 [2 per cell]
Ga  0.139  0.500  0.755 [2 per cell]
Ga  0.169  0.500  0.346 [2 per cell]
Ga  0.291  0.000  0.096 [2 per cell]
Ga  0.339  0.000  0.656 [2 per cell]
Ga  0.464  0.500  0.425 [2 per cell]

A plane-wave DFT calculation with GGA-PBEsol was carried out for a relaxed structure of Mg3Ga.

Cell lengths 3.118, 9.986, 5.263 Å; angles 90.00, 90.00, 90.00 degrees
Space group Imm2 (No. 44)
Unique sites:
Mg  0.000  0.000  0.000 [2 per cell]
Mg  0.000  0.238  0.365 [4 per cell]
Ga  0.000  0.500  0.020 [2 per cell]

A plane-wave DFT calculation with GGA-PBEsol was carried out for a relaxed structure of MgGa3.

Cell lengths 4.093, 4.093, 8.523 Å; angles 90.00, 90.00, 90.00 degrees
Space group I4/mmm (No. 139)
Unique sites:
Mg  0.000  0.000  0.000 [2 per cell]
Ga  0.000  0.000  0.500 [2 per cell]
Ga  0.000  0.500  0.250 [4 per cell]

A plane-wave DFT calculation with GGA-PBEsol was carried out for a relaxed structure of MgGa5.

Cell lengths 5.1401, 5.1401, 4.7537 Å; angles 90.00, 90.00, 120.00 degrees
Space group P-62m (No. 189)
Unique sites:
Mg  0.0000  0.0000  0.0000 [1 per cell]
Ga  0.0000  0.6597  0.5000 [3 per cell]
Ga  0.3333  0.6667  0.0000 [2 per cell]

A plane-wave DFT calculation with GGA-PBEsol was carried out for a relaxed structure of MgGa5.

Cell lengths 5.1275, 5.1275, 14.2474 Å; angles 90.00, 90.00, 120.00 degrees
Space group R32 (No. 155, hexagonal axes)
Unique sites:
Mg  0.0000  0.0000  0.0000 [3 per cell]
Ga  0.0000  0.0000  0.3378 [6 per cell]
Ga  0.0000  0.6655  0.5000 [9 per cell]

A plane-wave DFT calculation with GGA-PBEsol was carried out for a relaxed structure of MgGa3.

Cell lengths 3.228, 4.717, 4.779 Å; angles 90.00, 90.00, 90.00 degrees
Space group Pmm2 (No. 25)
Unique sites:
Mg  0.000  0.000  0.000 [1 per cell]
Ga  0.000  0.500  0.639 [1 per cell]
Ga  0.500  0.000  0.501 [1 per cell]
Ga  0.500  0.500  0.151 [1 per cell]

A plane-wave DFT calculation with GGA-PBEsol was carried out for a relaxed structure of MgGa3.

Cell lengths 4.135, 4.135, 4.135 Å; angles 90.00, 90.00, 90.00 degrees
Space group Pm-3m (No. 221)
Unique sites:
Mg  0.000  0.000  0.000 [1 per cell]
Ga  0.000  0.500  0.500 [3 per cell]

A plane-wave DFT calculation with GGA-PBEsol was carried out for a relaxed structure of MgGa5.

Cell lengths 4.669, 3.293, 14.178 Å; angles 90.00, 90.00, 90.00 degrees
Space group Amm2 (No. 38)
Unique sites:
Mg  0.000  0.000  0.000 [2 per cell]
Ga  0.000  0.000  0.329 [2 per cell]
Ga  0.000  0.000  0.671 [2 per cell]
Ga  0.500  0.000  0.211 [2 per cell]
Ga  0.500  0.000  0.549 [2 per cell]
Ga  0.500  0.000  0.876 [2 per cell]

A plane-wave DFT calculation with GGA-PBEsol was carried out for a relaxed structure of MgGa3.

Cell lengths 10.364, 3.334, 4.750 Å; angles 90.00, 117.14, 90.00 degrees
Space group Cm (No. 8)
Unique sites:
Mg  0.000  0.000  0.000 [2 per cell]
Ga  0.000  0.500  0.496 [2 per cell]
Ga  0.245  0.000  0.864 [2 per cell]
Ga  0.255  0.500  0.374 [2 per cell]

A plane-wave DFT calculation with GGA-PBEsol was carried out for a relaxed structure of MgGa3.

Cell lengths 5.8444, 5.8444, 4.8632 Å; angles 90.00, 90.00, 120.00 degrees
Space group P6_3/mmc (No. 194)
Unique sites:
Mg  0.3333  0.6667  0.2500 [2 per cell]
Ga  0.1628  0.3255  0.7500 [6 per cell]

Across the entries above, calculated density takes the values 2849; 2948; 5688; 2891; 5431; 5693; 5727; 5327; 5482; 5681; 5309; 5390 kg/m3, respectively.
Across the entries above, spin magnetization takes the values 0.000; 0.000; 0.000; 0.000; 0.000; 0.000; 0.000; 0.000; 0.000; 0.000; 0.000; 0.000 μB/atom, respectively.
Across the entries above, calculated formation energy takes the values -0.05; -0.09; -0.04; -0.06; -0.10; -0.04; -0.05; -0.07; -0.11; -0.04; -0.07; -0.09 eV per atom, respectively.